1.
## Pd7Pt3Rh (PBE)

Data for an optimized crystal structure of Pd7Pt3Rh.

```
Pd7Pt3Rh
1.0
-0.4152 -1.7706 -6.4613
3.6461 -4.0589 0.8779
-5.4073 -0.9631 0.6114
Pd Pt Rh
7 3 1
Direct
0.1150 0.1659 0.8341 Pd
0.1150 0.1659 0.3319 Pd
0.1096 0.6667 0.3333 Pd
0.4527 0.8351 0.1649 Pd
0.4527 0.3298 0.1649 Pd
0.4527 0.8351 0.6702 Pd
0.1150 0.6681 0.8341 Pd
0.7810 0.4994 0.5006 Pt
0.7810 0.4994 0.9988 Pt
0.7810 0.0012 0.5006 Pt
0.4593 0.3333 0.6667 Rh
```


2.
CoTc2Pt | the Alexandria database | PBE | relaxed; offset from the most stable computed form = 263.3 meV/atom
1.0
-4.1475 -0.9338 -0.7526
-1.2154 -1.4571 -3.8782
-1.2363 -4.1097 -0.4717
Co Pt Tc
1 1 2
Direct
0.5000 0.5000 0.5000 Co
0.2500 0.2500 0.2500 Pt
0.0000 0.0000 0.0000 Tc
0.7500 0.7500 0.7500 Tc


3.
Co2Tc | the Alexandria database | PBE | relaxed; offset from the most stable computed form = 1046.0 meV/atom
1.0
-1.7100 -5.2380 0.7895
5.2788 -1.7540 -0.2034
0.4402 0.6862 5.5063
Co Tc
8 4
Direct
0.1177 0.6177 0.8823 Co
0.1177 0.8823 0.3823 Co
0.3823 0.1177 0.8823 Co
0.3823 0.3823 0.3823 Co
0.6177 0.6177 0.6177 Co
0.6177 0.8823 0.1177 Co
0.8823 0.1177 0.6177 Co
0.8823 0.3823 0.1177 Co
0.0000 0.0000 0.0000 Tc
0.0000 0.5000 0.5000 Tc
0.5000 0.0000 0.5000 Tc
0.5000 0.5000 0.0000 Tc


Values of energy relative to the elements, in order: 0.075; 0.215; 1.039, all in eV/atom.
Values of DFT total energy, in order: -5.545; -8.255; -7.154, all in eV per atom.